SrPPd3 | Alexandria | GGA-PBE | relaxed; total energy = -5.17 eV/atom; energy above the lowest structure with this stoichiometry = 157 meV per atom; D(E_F) = 2.3 states/eV/f.u.; crystal system = monoclinic; density = 7.53 g/cm³; space-group type = P2_1/c, No. 14
1.0
-17.443 4.484 2.955
-1.721 -4.649 -3.104
5.760 -3.490 2.035
Pd P Sr
12 4 4
Cartesian
-10.609 -0.108 3.250 Pd
-0.675 -3.971 0.625 Pd
-0.326 -1.504 2.247 Pd
-10.406 -1.034 0.465 Pd
-4.755 -0.573 0.777 Pd
-12.730 0.316 1.261 Pd
-8.649 -3.083 1.109 Pd
-2.998 -2.621 1.421 Pd
-14.159 2.557 2.677 Pd
-2.796 -3.547 -1.364 Pd
0.755 -6.212 -0.791 Pd
-13.078 -2.151 -0.361 Pd
-4.904 -2.029 2.742 P
1.020 -2.306 0.394 P
-14.424 -1.349 1.492 P
-8.501 -1.626 -0.856 P
-5.763 -3.450 -0.039 Sr
-17.322 0.652 0.498 Sr
-7.642 -0.205 1.925 Sr
3.917 -4.307 1.388 Sr

SrPPd6 | Alexandria | GGA-PBE | relaxed; total energy = -5.16 eV/atom; D(E_F) = 2.2 states/eV/f.u.; crystal system = trigonal; density = 8.04 g/cm³; space-group type = R-3m, No. 166
1.0
-5.650 -0.978 -1.541
-2.717 -5.001 1.694
-4.359 0.314 4.344
Pd P Sr
6 1 1
Cartesian
-4.483 -0.970 0.355 Pd
-8.243 -4.695 4.141 Pd
-3.134 -2.819 1.842 Pd
-9.591 -2.846 2.655 Pd
-1.886 -0.521 1.063 Pd
-10.840 -5.144 3.433 Pd
0.000 0.000 0.000 P
-6.363 -2.832 2.248 Sr

SrPPd3 | Alexandria | GGA-PBE | relaxed; total energy = -5.32 eV/atom; energy above the lowest structure with this stoichiometry = 8 meV per atom; D(E_F) = 3.4 states/eV/f.u.; crystal system = tetragonal; density = 7.66 g/cm³; space-group type = P4/nmm, No. 129
1.0
5.341 0.000 0.000
0.000 5.963 -0.001
0.000 0.001 5.963
P Pd Sr
2 6 2
Cartesian
0.660 4.131 5.457 P
3.720 1.149 2.475 P
4.860 2.641 0.985 Pd
4.861 5.622 0.983 Pd
4.860 2.639 3.967 Pd
1.413 1.149 2.475 Pd
4.861 5.621 3.965 Pd
2.967 4.131 5.457 Pd
2.190 1.149 5.457 Sr
2.190 4.131 2.475 Sr